# MgIn2Mo

A relaxed MgIn2Mo crystal (PBE, Alexandria).

```
MgIn2Mo
1.0
-5.296 0.918 -1.259
-3.232 -4.420 -0.694
3.605 1.795 3.775
Mo In Mg
1 2 1
direct
0.250 0.750 0.500
0.000 0.000 0.000
0.750 0.250 0.500
0.500 0.500 0.000
```

## Properties
- formation energy from the elements (meV/atom) = 165.4
- crystal system = tetragonal